w:
Entry from Alexandria: crystalline Sm3RhPb2 at its relaxed geometry (PBE-GGA).

Summary:
symmetry	C2/c (15)
crystal system	monoclinic

a = 6.296 Å, b = 8.304 Å, c = 7.511 Å
α = 105.40°, β = 114.78°, γ = 90.00°
Sites, in units of the cell vectors:
Sm: 0.314 0.250 0.000
Sm: 0.686 0.750 0.000
Sm: 0.056 0.133 0.324
Sm: 0.732 0.367 0.676
Sm: 0.268 0.633 0.324
Sm: 0.944 0.867 0.676
Rh: 0.146 0.750 0.000
Rh: 0.854 0.250 0.000
Pb: 0.771 0.511 0.300
Pb: 0.530 0.011 0.300
Pb: 0.470 0.989 0.700
Pb: 0.229 0.489 0.700

x:
Entry from Alexandria: crystalline Sm3RhPb2 at its relaxed geometry (PBE-GGA).

Summary:
symmetry	Pnma (62)
crystal system	orthorhombic

a = 4.459 Å, b = 12.011 Å, c = 12.781 Å
α = 90.00°, β = 90.00°, γ = 90.00°
Sites, in units of the cell vectors:
Sm: 0.250 0.368 0.052
Sm: 0.750 0.632 0.948
Sm: 0.750 0.868 0.448
Sm: 0.250 0.132 0.552
Sm: 0.250 0.710 0.244
Sm: 0.750 0.290 0.756
Sm: 0.750 0.210 0.256
Sm: 0.250 0.790 0.744
Sm: 0.250 0.458 0.379
Sm: 0.750 0.542 0.621
Sm: 0.750 0.958 0.121
Sm: 0.250 0.042 0.879
Rh: 0.250 0.132 0.128
Rh: 0.750 0.868 0.872
Rh: 0.750 0.632 0.372
Rh: 0.250 0.368 0.628
Pb: 0.250 0.692 0.506
Pb: 0.750 0.308 0.494
Pb: 0.750 0.192 0.994
Pb: 0.250 0.808 0.006
Pb: 0.250 0.000 0.315
Pb: 0.750 0.000 0.685
Pb: 0.750 0.500 0.185
Pb: 0.250 0.500 0.815

It comes down to x, which is 126 meV per atom more stable than the next structure.

w:
Entry from Alexandria: crystalline Sm3RhPb at its relaxed geometry (PBE-GGA).

Summary:
symmetry	Pm-3m (221)
crystal system	cubic

a = 5.418 Å, b = 5.418 Å, c = 5.418 Å
α = 90.00°, β = 90.00°, γ = 90.00°
Sites, in units of the cell vectors:
Pb: 0.500 0.500 0.500
Rh: 0.000 0.000 0.000
Sm: 0.000 0.500 0.000
Sm: 0.000 0.000 0.500
Sm: 0.500 0.000 0.000

x:
Entry from Alexandria: crystalline Sm3RhPb at its relaxed geometry (PBE-GGA).

Summary:
symmetry	Cmmm (65)
crystal system	orthorhombic

a = 4.088 Å, b = 8.947 Å, c = 8.950 Å
α = 69.59°, β = 90.00°, γ = 90.00°
Sites, in units of the cell vectors:
Sm: 0.864 0.374 0.820
Sm: 0.864 0.015 0.673
Sm: 0.863 0.621 0.067
Sm: 0.363 0.016 0.068
Sm: 0.863 0.768 0.426
Sm: 0.363 0.372 0.425
Rh: 0.363 0.694 0.246
Rh: 0.364 0.194 0.746
Pb: 0.363 0.694 0.746
Pb: 0.863 0.194 0.246

It comes down to x, which is 78 meV per atom more stable than the next structure.

w:
Entry from Alexandria: crystalline Sm4RhPb2 at its relaxed geometry (PBE-GGA).

Summary:
symmetry	P2_1/m (11)
crystal system	monoclinic

a = 6.837 Å, b = 6.817 Å, c = 10.061 Å
α = 90.00°, β = 116.28°, γ = 90.00°
Sites, in units of the cell vectors:
Sm: 0.439 0.495 0.248
Sm: 0.130 0.750 0.874
Sm: 0.870 0.250 0.126
Sm: 0.439 0.005 0.248
Sm: 0.919 0.250 0.605
Sm: 0.561 0.995 0.752
Sm: 0.561 0.505 0.752
Sm: 0.081 0.750 0.395
Rh: 0.086 0.750 0.121
Rh: 0.914 0.250 0.879
Pb: 0.658 0.750 0.064
Pb: 0.342 0.250 0.936
Pb: 0.264 0.250 0.456
Pb: 0.736 0.750 0.544

x:
Entry from Alexandria: crystalline Sm4RhPb2 at its relaxed geometry (PBE-GGA).

Summary:
symmetry	I4/mmm (139)
crystal system	tetragonal

a = 5.195 Å, b = 5.195 Å, c = 9.228 Å
α = 106.35°, β = 106.35°, γ = 90.00°
Sites, in units of the cell vectors:
Pb: 0.637 0.637 0.274
Pb: 0.363 0.363 0.726
Rh: 0.000 0.000 0.000
Sm: 0.824 0.824 0.648
Sm: 0.176 0.176 0.352
Sm: 0.000 0.500 0.000
Sm: 0.500 0.000 0.000

It comes down to w, which is 78 meV per atom more stable than the next structure.

w:
Entry from Alexandria: crystalline Sn2Rh2Pb at its relaxed geometry (PBE-GGA).

Summary:
symmetry	P4/mbm (127)
crystal system	tetragonal

a = 7.986 Å, b = 7.986 Å, c = 3.133 Å
α = 90.00°, β = 90.00°, γ = 90.00°
Sites, in units of the cell vectors:
Pb: 0.000 0.000 0.000
Pb: 0.500 0.500 0.000
Rh: 0.358 0.858 0.000
Rh: 0.858 0.642 0.000
Rh: 0.642 0.142 0.000
Rh: 0.142 0.358 0.000
Sn: 0.150 0.650 0.500
Sn: 0.650 0.850 0.500
Sn: 0.850 0.350 0.500
Sn: 0.350 0.150 0.500

x:
Entry from Alexandria: crystalline Sn2Rh2Pb at its relaxed geometry (PBE-GGA).

Summary:
symmetry	I4/mmm (139)
crystal system	tetragonal

a = 4.237 Å, b = 4.237 Å, c = 6.772 Å
α = 71.77°, β = 71.77°, γ = 90.00°
Sites, in units of the cell vectors:
Pb: 0.000 0.000 0.000
Rh: 0.386 0.386 0.229
Rh: 0.614 0.614 0.771
Sn: 0.750 0.250 0.500
Sn: 0.250 0.750 0.500

It comes down to w, which is 125 meV per atom more stable than the next structure.

w:
Entry from Alexandria: crystalline Sr2RhPb2 at its relaxed geometry (PBE-GGA).

Summary:
symmetry	C2/m (12)
crystal system	monoclinic

a = 4.868 Å, b = 6.371 Å, c = 10.878 Å
α = 88.18°, β = 77.07°, γ = 67.54°
Sites, in units of the cell vectors:
Sr: 0.661 0.344 0.333
Sr: 0.928 0.257 0.887
Sr: 0.339 0.656 0.667
Sr: 0.072 0.743 0.113
Rh: 0.623 0.095 0.659
Rh: 0.377 0.905 0.341
Pb: 0.113 0.215 0.560
Pb: 0.642 0.842 0.874
Pb: 0.887 0.785 0.440
Pb: 0.358 0.158 0.126

x:
Entry from Alexandria: crystalline Sr2RhPb2 at its relaxed geometry (PBE-GGA).

Summary:
symmetry	P4/mbm (127)
crystal system	tetragonal

a = 7.556 Å, b = 7.556 Å, c = 5.189 Å
α = 90.00°, β = 90.00°, γ = 90.00°
Sites, in units of the cell vectors:
Pb: 0.354 0.854 0.000
Pb: 0.854 0.646 0.000
Pb: 0.646 0.146 0.000
Pb: 0.146 0.354 0.000
Sr: 0.171 0.671 0.500
Sr: 0.671 0.829 0.500
Sr: 0.829 0.329 0.500
Sr: 0.329 0.171 0.500
Rh: 0.000 0.000 0.000
Rh: 0.500 0.500 0.000

It comes down to w, which is 154 meV per atom more stable than the next structure.

w:
Entry from Alexandria: crystalline SrRh3Pb3 at its relaxed geometry (PBE-GGA).

Summary:
symmetry	R-3 (148)
crystal system	trigonal

a = 8.749 Å, b = 8.749 Å, c = 7.349 Å
α = 53.47°, β = 53.47°, γ = 60.00°
Sites, in units of the cell vectors:
Sr: 0.325 0.325 0.025
Sr: 0.675 0.675 0.975
Rh: 0.243 0.638 0.160
Rh: 0.960 0.243 0.160
Rh: 0.638 0.960 0.160
Rh: 0.362 0.040 0.840
Rh: 0.040 0.757 0.840
Rh: 0.757 0.362 0.840
Pb: 0.390 0.821 0.654
Pb: 0.821 0.135 0.654
Pb: 0.135 0.390 0.654
Pb: 0.865 0.610 0.346
Pb: 0.179 0.865 0.346
Pb: 0.610 0.179 0.346

x:
Entry from Alexandria: crystalline SrRh3Pb3 at its relaxed geometry (PBE-GGA).

Summary:
symmetry	Pm-3n (223)
crystal system	cubic

a = 7.436 Å, b = 7.436 Å, c = 7.436 Å
α = 90.00°, β = 90.00°, γ = 90.00°
Sites, in units of the cell vectors:
Pb: 0.000 0.250 0.500
Pb: 0.000 0.750 0.500
Pb: 0.500 0.000 0.750
Pb: 0.750 0.500 0.000
Pb: 0.500 0.000 0.250
Pb: 0.250 0.500 0.000
Sr: 0.500 0.500 0.500
Sr: 0.000 0.000 0.000
Rh: 0.250 0.000 0.500
Rh: 0.000 0.500 0.250
Rh: 0.500 0.750 0.000
Rh: 0.750 0.000 0.500
Rh: 0.000 0.500 0.750
Rh: 0.500 0.250 0.000

It comes down to w, which is 180 meV per atom more stable than the next structure.

w:
Entry from Alexandria: crystalline Ta3RhPb at its relaxed geometry (PBE-GGA).

Summary:
symmetry	Pm-3m (221)
crystal system	cubic

a = 4.852 Å, b = 4.852 Å, c = 4.852 Å
α = 90.00°, β = 90.00°, γ = 90.00°
Sites, in units of the cell vectors:
Pb: 0.500 0.500 0.500
Rh: 0.000 0.000 0.000
Ta: 0.000 0.500 0.000
Ta: 0.000 0.000 0.500
Ta: 0.500 0.000 0.000

x:
Entry from Alexandria: crystalline Ta3RhPb at its relaxed geometry (PBE-GGA).

Summary:
symmetry	Pm-3m (221)
crystal system	cubic

a = 5.036 Å, b = 5.036 Å, c = 5.036 Å
α = 90.00°, β = 90.00°, γ = 90.00°
Sites, in units of the cell vectors:
Pb: 0.000 0.000 0.000
Rh: 0.500 0.500 0.500
Ta: 0.000 0.500 0.000
Ta: 0.000 0.000 0.500
Ta: 0.500 0.000 0.000

It comes down to w, which is 1596 meV per atom more stable than the next structure.

w:
Entry from Alexandria: crystalline TbRh2Pb2 at its relaxed geometry (PBE-GGA).

Summary:
symmetry	P2_1/m (11)
crystal system	monoclinic

a = 4.484 Å, b = 5.404 Å, c = 10.097 Å
α = 110.63°, β = 90.00°, γ = 90.00°
Sites, in units of the cell vectors:
Tb: 0.250 0.751 0.235
Tb: 0.750 0.249 0.765
Rh: 0.250 0.870 0.649
Rh: 0.750 0.130 0.351
Rh: 0.250 0.307 0.948
Rh: 0.750 0.693 0.052
Pb: 0.250 0.776 0.895
Pb: 0.750 0.224 0.105
Pb: 0.250 0.291 0.527
Pb: 0.750 0.709 0.473

x:
Entry from Alexandria: crystalline TbRh2Pb2 at its relaxed geometry (PBE-GGA).

Summary:
symmetry	Pmmn (59)
crystal system	orthorhombic

a = 4.750 Å, b = 4.582 Å, c = 10.349 Å
α = 89.98°, β = 90.00°, γ = 90.00°
Sites, in units of the cell vectors:
Tb: 0.750 0.250 0.674
Tb: 0.250 0.750 0.326
Rh: 0.250 0.250 0.500
Rh: 0.750 0.750 0.174
Rh: 0.250 0.250 0.826
Rh: 0.750 0.750 0.500
Pb: 0.750 0.250 0.997
Pb: 0.250 0.750 0.671
Pb: 0.250 0.750 0.003
Pb: 0.750 0.250 0.329

It comes down to x, which is 83 meV per atom more stable than the next structure.